# ZrCdW2 PBE-GGA optimized geometry
# Total magnetization in μB/f.u.: 0.00
# Formation energy from the elements in eV per atom: 0.286
# N(E_F) in states/eV/atom: 0.604
# Total energy in eV per atom: -8.56
# SG: Pm, No. 6
data_ZrCdW2
_chemical_formula_sum 'Zr1 Cd1 W2'
_space_group_name_H-M_alt 'P 1'
_space_group_IT_number 1
_space_group_name_Hall 'P 1'
_cell_length_a 4.4052
_cell_length_b 2.8508
_cell_length_c 6.2260
_cell_angle_alpha 73.02
_cell_angle_beta 90.00
_cell_angle_gamma 90.00
loop_
_atom_site_label
_atom_site_type_symbol
_atom_site_fract_x
_atom_site_fract_y
_atom_site_fract_z
_atom_site_occupancy
Cd1 Cd 0.5000 0.7722 0.7589 1
W1 W 0.0000 0.0516 0.0259 1
W2 W 0.5000 0.2093 0.2285 1
Zr1 Zr 0.0000 0.4669 0.4868 1